Computed, not measured: a geometry-optimized La8CeHg2 structure at the PBE-GGA level of DFT.

It has space group C2/m (No. 12), with a = 18.605 Å, b = 5.429 Å, c = 7.257 Å, α = 90.00°, β = 98.82° and γ = 90.00°. Symmetry generates all atoms from La at (0.010, 0.000, 0.259), La at (0.096, 0.500, 0.005), La at (0.153, 0.500, 0.498), La at (0.202, 0.000, 0.805), Ce at (0.000, 0.500, 0.500) and Hg at (0.188, 0.000, 0.246).

---

Computed, not measured: a geometry-optimized SnSbMo structure at the PBE-GGA level of DFT.

Its uncorrected formation energy is 0.065 eV per atom.

It has space group Fddd (No. 70, origin choice 2), with a = 5.715 Å, b = 9.842 Å, c = 18.277 Å, α = 90.00°, β = 90.00° and γ = 90.00°. Symmetry generates all atoms from Sn at (0.125, 0.125, 0.046), Sb at (0.125, 0.283, 0.625) and Mo at (0.125, 0.125, 0.495).

---

Computed, not measured: a geometry-optimized BaNb2Cr2 structure at the PBE-GGA level of DFT.

It has space group P4/mbm (No. 127), with a = 8.209 Å, b = 8.209 Å, c = 3.055 Å, α = 90.00°, β = 90.00° and γ = 90.00°. Symmetry generates all atoms from Ba at (0.000, 0.000, 0.000), Nb at (0.129, 0.371, 0.000) and Cr at (0.125, 0.625, 0.500).

---

Computed, not measured: a geometry-optimized ErInSn structure at the PBE-GGA level of DFT.

It has space group Cmcm (No. 63), with a = 3.465 Å, b = 19.684 Å, c = 4.630 Å, α = 90.00°, β = 90.00° and γ = 90.00°. Symmetry generates all atoms from Er at (0.000, 0.118, 0.250), In at (0.000, 0.458, 0.250) and Sn at (0.000, 0.301, 0.250).

---

Computed, not measured: a geometry-optimized YAg2Rh2 structure at the PBE-GGA level of DFT.

It has space group I4/mmm (No. 139), with a = 3.932 Å, b = 3.932 Å, c = 12.664 Å, α = 90.00°, β = 90.00° and γ = 90.00°. Symmetry generates all atoms from Y at (0.000, 0.000, 0.000), Ag at (0.000, 0.500, 0.250) and Rh at (0.000, 0.000, 0.403).

---

Computed, not measured: a geometry-optimized PbC structure at the PBE-GGA level of DFT.

It has space group P4/m (No. 83), with a = 10.522 Å, b = 10.522 Å, c = 3.903 Å, α = 90.00°, β = 90.00° and γ = 90.00°. Symmetry generates all atoms from Pb at (0.108, 0.383, 0.000), Pb at (0.227, 0.624, 0.500), C at (0.111, 0.607, 0.000) and C at (0.231, 0.390, 0.500).

---

Computed, not measured: a geometry-optimized Er2AlGa2Pt5 structure at the PBE-GGA level of DFT.

It has space group P4/mbm (No. 127), with a = 9.722 Å, b = 9.722 Å, c = 3.709 Å, α = 90.00°, β = 90.00° and γ = 90.00°. Symmetry generates all atoms from Er at (0.174, 0.326, 0.000), Al at (0.000, 0.000, 0.000), Ga at (0.126, 0.626, 0.000), Pt at (0.000, 0.500, 0.500) and Pt at (0.061, 0.799, 0.500).

---

Computed, not measured: a geometry-optimized TbScPa2Sb4 structure at the PBE-GGA level of DFT.

Its uncorrected formation energy is -0.717 eV per atom.

It has space group P2/m (No. 10), with a = 7.495 Å, b = 4.330 Å, c = 7.519 Å, α = 90.00°, β = 109.43° and γ = 90.00°. Symmetry generates all atoms from Tb at (0.000, 0.000, 0.000), Sc at (0.500, 0.500, 0.000), Pa at (0.000, 0.500, 0.500), Pa at (0.500, 0.000, 0.500), Sb at (0.255, 0.500, 0.244) and Sb at (0.261, 0.000, 0.761).

---

Computed, not measured: a geometry-optimized PrHo4In4 structure at the PBE-GGA level of DFT.

It has space group P4_2/nmc (No. 137, origin choice 2), with a = 7.269 Å, b = 7.269 Å, c = 10.523 Å, α = 90.00°, β = 90.00° and γ = 90.00°. Symmetry generates all atoms from Pr at (0.250, 0.750, 0.250), Ho at (0.016, 0.250, 0.159) and In at (0.040, 0.250, 0.456).

---

Computed, not measured: a geometry-optimized Zr2BiPd4 structure at the PBE-GGA level of DFT.

It has space group I4/mmm (No. 139), with a = 5.065 Å, b = 5.065 Å, c = 13.475 Å, α = 90.00°, β = 90.00° and γ = 90.00°. Symmetry generates all atoms from Zr at (0.000, 0.000, 0.112), Bi at (0.000, 0.000, 0.500), Pd at (0.000, 0.000, 0.297) and Pd at (0.000, 0.500, 0.000).

---

Computed, not measured: a geometry-optimized CoCu5Pd8 structure at the PBE-GGA level of DFT.

It has space group I-4 (No. 82), with a = 7.460 Å, b = 7.460 Å, c = 7.468 Å, α = 90.00°, β = 90.00° and γ = 90.00°. Symmetry generates all atoms from Co at (0.000, 0.000, 0.000), Cu at (0.000, 0.500, 0.750), Cu at (0.123, 0.257, 0.371), Pd at (0.077, 0.168, 0.703) and Pd at (0.082, 0.325, 0.039).

---

Computed, not measured: a geometry-optimized YPb structure at the PBE-GGA level of DFT.

It has space group Fddd (No. 70, origin choice 2), with a = 7.488 Å, b = 10.282 Å, c = 12.715 Å, α = 90.00°, β = 90.00° and γ = 90.00°. Symmetry generates all atoms from Y at (0.125, 0.356, 0.125) and Pb at (0.093, 0.375, 0.875).

---

Total DFT energy (no corrections) for every record listed, in sequence, given in Ry/atom: -0.3149 -0.4596 -0.5489 -0.3019 -0.4026 -0.3475 -0.4301 -0.4794 -0.2916 -0.4088 -0.3536 -0.4050.